# 1
Compound: SrHo2AgS4
Source: the Alexandria database
Functional: PBE-GGA
Structure: relaxed

Geometry as POSCAR:
```
SrHo2AgS4
1.0
3.988 0.000 0.000
-1.994 6.647 0.000
0.000 0.000 13.793
Sr Ho Ag S
2 4 2 8
Direct
0.128 0.256 0.750
0.872 0.744 0.250
0.375 0.751 0.559
0.625 0.249 0.059
0.625 0.249 0.441
0.375 0.751 0.941
0.853 0.706 0.750
0.147 0.294 0.250
0.271 0.542 0.111
0.729 0.458 0.611
0.729 0.458 0.889
0.271 0.542 0.389
0.000 0.000 0.500
0.000 0.000 0.000
0.464 0.927 0.750
0.536 0.073 0.250
```

## Properties
Its density of states at the Fermi level is 1.65 states/eV/f.u. The space group is Cmcm. The formation energy from raw total energies comes out at -1658 meV/atom. The calculation puts the total moment at 0.00 Bohr magnetons per cell. For the volume, the calculation gives 365.64 Å³ per cell. The calculation puts the total energy at -5.4331 eV/atom. The calculated density comes out at 5.94 Mg/m³.

=====

# 2
Compound: TbHo4AgS8
Source: the Alexandria database
Functional: PBE-GGA
Structure: relaxed

Geometry as POSCAR:
```
TbHo4AgS8
1.0
-7.080 -3.620 0.833
-2.467 -2.339 7.237
-6.054 3.838 3.593
Tb Ho Ag S
1 4 1 8
Direct
0.004 0.004 0.987
0.625 0.625 0.124
0.004 0.487 0.504
0.487 0.004 0.504
0.004 0.004 0.504
0.374 0.374 0.877
0.244 0.773 0.740
0.773 0.244 0.740
0.244 0.244 0.740
0.242 0.242 0.274
0.757 0.226 0.260
0.226 0.757 0.260
0.757 0.757 0.260
0.759 0.759 0.724
```

## Properties
Its density of states at the Fermi level is 0.00 states/eV/f.u. The space group is R3m. The formation energy from raw total energies comes out at -1830 meV/atom. The calculation puts the total moment at 0.00 Bohr magnetons per cell. For the volume, the calculation gives 362.96 Å³ per cell. The calculation puts the total energy at -6.0313 eV/atom. The calculated density comes out at 5.41 Mg/m³.

=====

# 3
Compound: TbHoAg2S4
Source: the Alexandria database
Functional: PBE-GGA
Structure: relaxed

Geometry as POSCAR:
```
TbHoAg2S4
1.0
-0.488 1.604 3.713
-0.115 -7.081 3.043
6.895 1.726 0.160
Tb Ho Ag S
1 1 2 4
Direct
0.000 0.500 0.500
0.500 0.500 0.000
0.000 0.000 0.000
0.500 0.000 0.500
0.000 0.687 0.880
0.000 0.313 0.120
0.500 0.688 0.376
0.500 0.312 0.624
```

## Properties
Its density of states at the Fermi level is 0.00 states/eV/f.u. The space group is P2/m. The formation energy from raw total energies comes out at -1308 meV/atom. The calculation puts the total moment at 0.00 Bohr magnetons per cell. For the volume, the calculation gives 217.32 Å³ per cell. The calculation puts the total energy at -5.2358 eV/atom. The calculated density comes out at 5.10 Mg/m³.

=====

# 4
Compound: TbHo2Ag3S6
Source: the Alexandria database
Functional: PBE-GGA
Structure: relaxed

Geometry as POSCAR:
```
TbHo2Ag3S6
1.0
4.037 0.000 0.000
0.000 9.577 0.395
-2.018 -2.482 7.348
Tb Ho Ag S
1 2 3 6
Direct
0.500 0.000 0.000
0.835 0.664 0.669
0.165 0.336 0.331
0.500 0.500 0.000
0.825 0.062 0.649
0.175 0.938 0.351
0.317 0.855 0.633
0.657 0.520 0.315
0.683 0.145 0.367
0.989 0.192 0.978
0.011 0.808 0.022
0.343 0.480 0.685
```

## Properties
Its density of states at the Fermi level is 0.00 states/eV/f.u. The space group is C2/m. The formation energy from raw total energies comes out at -1306 meV/atom. The calculation puts the total moment at 0.00 Bohr magnetons per cell. For the volume, the calculation gives 288.01 Å³ per cell. The calculation puts the total energy at -5.2316 eV/atom. The calculated density comes out at 5.79 Mg/m³.

=====

# 5
Compound: HoAg2TeS4
Source: the Alexandria database
Functional: PBE-GGA
Structure: relaxed

Geometry as POSCAR:
```
HoAg2TeS4
1.0
7.891 0.539 0.315
0.534 7.891 0.315
-3.917 -3.920 5.649
Ho Ag Te S
2 4 2 8
Direct
0.000 0.500 0.000
0.000 0.500 0.500
0.500 0.000 0.000
0.500 0.000 0.500
0.000 0.000 0.500
0.500 0.500 0.000
0.500 0.500 0.500
0.000 0.000 0.000
0.213 0.707 0.960
0.793 0.287 0.540
0.207 0.713 0.460
0.787 0.293 0.040
0.791 0.820 0.059
0.680 0.709 0.441
0.320 0.291 0.559
0.209 0.180 0.941
```

## Properties
Its density of states at the Fermi level is 1.66 states/eV/f.u. The space group is C2/c. The formation energy from raw total energies comes out at -573 meV/atom. The calculation puts the total moment at 0.00 Bohr magnetons per cell. For the volume, the calculation gives 368.27 Å³ per cell. The calculation puts the total energy at -4.3147 eV/atom. The calculated density comes out at 5.74 Mg/m³.

=====

# 6
Compound: HoAgTeS
Source: the Alexandria database
Functional: PBE-GGA
Structure: relaxed

Geometry as POSCAR:
```
HoAgTeS
1.0
4.517 0.000 0.000
2.258 3.912 0.000
2.258 1.304 11.650
Ho Ag Te S
2 2 2 2
Direct
0.617 0.617 0.149
0.383 0.383 0.851
0.811 0.811 0.568
0.189 0.189 0.432
0.107 0.107 0.679
0.893 0.893 0.321
0.696 0.696 0.912
0.304 0.304 0.088
```

## Properties
Its density of states at the Fermi level is 0.00 states/eV/f.u. The space group is R-3m. The formation energy from raw total energies comes out at -1157 meV/atom. The calculation puts the total moment at 0.00 Bohr magnetons per cell. For the volume, the calculation gives 205.83 Å³ per cell. The calculation puts the total energy at -4.8317 eV/atom. The calculated density comes out at 6.98 Mg/m³.